Ac2SmGe3Pd12 PBE optimized geometry; crystal system = trigonal; total DFT energy (no corrections) = -5.429 eV per atom; ΔH_f (0 K) = -0.48 eV/atom
1.0
4.7546 2.7451 4.4402
-4.7546 2.7451 4.4402
0.0000 -5.4902 4.4402
Ac Sm Ge Pd
2 1 3 12
Direct
0.1473 0.1473 0.1473
0.8527 0.8527 0.8527
0.5000 0.5000 0.5000
0.0000 0.5000 0.5000
0.5000 0.0000 0.5000
0.5000 0.5000 0.0000
0.1236 0.1236 0.5857
0.1236 0.5857 0.1236
0.1863 0.6865 0.6865
0.3135 0.3135 0.8137
0.3135 0.8137 0.3135
0.4143 0.8764 0.8764
0.5857 0.1236 0.1236
0.6865 0.1863 0.6865
0.6865 0.6865 0.1863
0.8137 0.3135 0.3135
0.8764 0.4143 0.8764
0.8764 0.8764 0.4143

TbMgTlAg PBE optimized geometry; crystal system = cubic; total DFT energy (no corrections) = -3.159 eV per atom; ΔH_f (0 K) = -0.30 eV/atom
1.0
7.1877 0.0000 0.0000
0.0000 7.1877 0.0000
0.0000 0.0000 7.1877
Tb Mg Tl Ag
4 4 4 4
Direct
0.0000 0.0000 0.0000
0.0000 0.5000 0.5000
0.5000 0.0000 0.5000
0.5000 0.5000 0.0000
0.0000 0.0000 0.5000
0.0000 0.5000 0.0000
0.5000 0.0000 0.0000
0.5000 0.5000 0.5000
0.2500 0.2500 0.7500
0.2500 0.7500 0.2500
0.7500 0.2500 0.2500
0.7500 0.7500 0.7500
0.2500 0.2500 0.2500
0.2500 0.7500 0.7500
0.7500 0.2500 0.7500
0.7500 0.7500 0.2500